Entry 1:
A geometry-optimized CsBaMgZn2 structure, computed with PBE.

Output
Symmetry: P4/mmm (123)
Calculated formation energy, meV per atom: 472
Uncorrected energy, eV per atom: -0.912
Density, g cm⁻³: 2.52

Cell lengths 6.410, 6.828, 6.410 Å; angles 90.00, 90.00, 90.00 degrees
Fractional positions:
1 Cs 0.500 0.500 0.500
2 Zn 0.000 0.000 0.500
3 Zn 0.500 0.000 0.000
4 Mg 0.000 0.500 0.000
5 Ba 0.000 0.000 0.000

***

Entry 2:
A geometry-optimized CsBaMn2 structure, computed with PBE.

Output
Symmetry: Fm-3m (225)
Calculated formation energy, meV per atom: 1038
Uncorrected energy, eV per atom: -4.241
Density, g cm⁻³: 4.20

Cell lengths 5.970, 5.970, 5.970 Å; angles 60.00, 60.00, 60.00 degrees
Each line ends with the local moment (μB).
Fractional positions:
1 Cs 0.000 0.000 0.000  -0.03
2 Mn 0.250 0.250 0.250  4.06
3 Mn 0.750 0.750 0.750  4.06
4 Ba 0.500 0.500 0.500  -0.18

***

Entry 3:
A geometry-optimized CsBa3Mn structure, computed with PBE.

Output
Symmetry: Pm-3m (221)
Calculated formation energy, meV per atom: 671
Uncorrected energy, eV per atom: -2.487
Density, g cm⁻³: 4.00

Cell lengths 6.292, 6.292, 6.292 Å; angles 90.00, 90.00, 90.00 degrees
Fractional positions:
1 Cs 0.500 0.500 0.500
2 Mn 0.000 0.000 0.000
3 Ba 0.000 0.500 0.000
4 Ba 0.000 0.000 0.500
5 Ba 0.500 0.000 0.000

***

Entry 4:
A geometry-optimized CsBa2Mn structure, computed with PBE.

Output
Symmetry: Fm-3m (225)
Calculated formation energy, meV per atom: 678
Uncorrected energy, eV per atom: -2.789
Density, g cm⁻³: 5.05

Cell lengths 5.990, 5.990, 5.990 Å; angles 60.00, 60.00, 60.00 degrees
Each line ends with the local moment (μB).
Fractional positions:
1 Cs 0.500 0.500 0.500  -0.02
2 Mn 0.000 0.000 0.000  4.09
3 Ba 0.250 0.250 0.250  -0.07
4 Ba 0.750 0.750 0.750  -0.07

***

- Look up the calculated formation energy of the fourth one.
  678 meV per atom